VASP calculation (PBEsol) on a geometry-optimized LiCdHg structure.

a b c (Å): 3.5169 3.5169 5.1829
angles (deg): 109.83 109.83 90.00
Closest atoms and distances in Å follow each position.
Fractional positions:
Li 0.3290 0.3290 0.6580  5 Hg 2.85-3.16, 5 Cd 2.91-3.04
Hg 0.6765 0.6765 0.3530  5 Li 2.85-3.16, 5 Cd 2.89-2.99
Cd 0.9945 0.9945 0.9890  5 Hg 2.89-2.99, 5 Li 2.91-3.04

density = 9.45 Mg/m³
symmetry = No. 107

---

VASP calculation (PBEsol) on a geometry-optimized Li2CdHg structure.

a b c (Å): 4.5901 4.5901 4.5901
angles (deg): 60.00 60.00 60.00
Closest atoms and distances in Å follow each position.
Fractional positions:
Li 0.7500 0.7500 0.7500  4 Cd 2.81, 4 Hg 2.81
Li 0.2500 0.2500 0.2500  4 Hg 2.81, 4 Cd 2.81
Hg 0.5000 0.5000 0.5000  8 Li 2.81
Cd 0.0000 0.0000 0.0000  8 Li 2.81

density = 7.94 Mg/m³
symmetry = No. 225

---

VASP calculation (PBEsol) on a geometry-optimized LiCd2Hg structure.

a b c (Å): 3.0638 4.3907 5.9563
angles (deg): 90.00 97.00 90.00
Closest atoms and distances in Å follow each position.
Fractional positions:
Hg 0.9317 0.0000 0.5259  4 Cd 2.85-3.14, 4 Li 2.91-2.97, 2 Hg 3.06
Li 0.4611 0.5000 0.7311  4 Hg 2.91-2.97, 6 Cd 2.98-3.15, 2 Li 3.06
Cd 0.0327 0.0000 0.0076  2 Hg 2.85-3.14, 6 Cd 2.98-3.06, 4 Li 3.13-3.15
Cd 0.5745 0.5000 0.2354  2 Hg 2.92, 6 Cd 2.98-3.06, 2 Li 2.98-3.01

density = 9.03 Mg/m³
symmetry = No. 6

---

VASP calculation (PBEsol) on a geometry-optimized LiCdHg2Ru structure.

a b c (Å): 4.3075 4.5440 4.5440
angles (deg): 90.00 90.00 90.00
Closest atoms and distances in Å follow each position.
Fractional positions:
Hg 0.0000 0.5000 0.0000  2 Li 2.27
Hg 0.0000 0.0000 0.5000  2 Li 2.27
Li 0.0000 0.0000 0.0000  2 Ru 2.15, 4 Hg 2.27
Ru 0.5000 0.0000 0.0000  2 Li 2.15
Cd 0.5000 0.5000 0.5000  8 Hg 3.13, 4 Ru 3.21

density = 11.61 Mg/m³
symmetry = No. 123

---

Total magnetic moment (computed, μB/f.u.): 0.00; 0.00; 0.00; 0.01
ΔH_f (0 K) (computed, eV per atom): -0.289; -0.347; -0.188; 0.629